1.
TlINO2, optimized geometry, DFT PBE; SG = P4/mmm; uncorrected formation energy = 1179 meV/atom; uncorrected energy = -3.25 eV/atom
1.0
4.0169 0.0000 0.0000
0.0000 4.0169 0.0000
0.0000 0.0000 7.6019
O N Tl I
2 1 1 1
Cartesian
0.0000 2.0084 0.0000
2.0084 0.0000 0.0000
2.0084 2.0084 3.8010
0.0000 0.0000 0.0000
0.0000 0.0000 3.8010



2.
TlIN2O, optimized geometry, DFT PBE; SG = P4/mmm; uncorrected formation energy = 2167 meV/atom; uncorrected energy = -2.94 eV/atom
1.0
-3.2642 -0.0399 -2.4803
2.3267 -1.4708 -3.0383
-1.5562 -6.9224 2.1593
Tl N I O
1 2 1 1
Cartesian
0.0000 0.0000 0.0000
-1.6321 -0.0199 -1.2402
1.1634 -0.7354 -1.5192
-0.7781 -3.4612 1.0797
-1.2468 -4.2166 -1.6797



3.
TlIN2O, optimized geometry, DFT PBE; SG = P4/mmm; uncorrected formation energy = 1939 meV/atom; uncorrected energy = -3.17 eV/atom
1.0
5.2442 0.0000 0.0000
0.0000 5.2442 0.0000
0.0000 0.0000 4.1182
N O Tl I
2 1 1 1
Cartesian
0.0000 2.6221 0.0000
2.6221 0.0000 0.0000
0.0000 0.0000 0.0000
2.6221 2.6221 2.0591
0.0000 0.0000 2.0591